SmInSeO2 | PBE | relaxed Values from VASP.

Calculated values
For the calculated total energy, the calculation gives -6.253 eV/atom. The density of states at the Fermi level is 0.00 states/eV/f.u. As for the symmetry: P2_1/m (11). The crystal system is monoclinic.

Cell and atoms, written as Quantum ESPRESSO input:
```
&SYSTEM
  ibrav = 0, nat = 10, ntyp = 4
/
ATOMIC_SPECIES
Sm 150.36 Sm.upf
In 114.82 In.upf
Se 78.96 Se.upf
O 16.00 O.upf
ATOMIC_POSITIONS angstrom
Sm 1.044 2.270 6.190
Sm 3.133 2.059 0.125
In 1.044 3.411 2.658
In 3.133 0.918 3.657
Se 1.044 -1.855 5.534
Se 3.133 6.184 0.781
O 3.133 2.723 2.374
O 1.044 1.606 3.941
O 3.133 1.255 5.800
O 1.044 3.074 0.515
CELL_PARAMETERS angstrom
4.177 0.000 0.000
0.000 6.886 -0.889
0.000 -2.557 7.204
```



Hf5Nb2Sn5 | PBE | relaxed Values from VASP.

Calculated values
The density of states at the Fermi level is 7.32 states/eV/f.u. As for the symmetry: C2/m (12). The value obtained for the formation energy is -226 meV/atom. The crystal system is monoclinic.

Cell and atoms, written as Quantum ESPRESSO input:
```
&SYSTEM
  ibrav = 0, nat = 12, ntyp = 3
/
ATOMIC_SPECIES
Hf 178.49 Hf.upf
Nb 92.91 Nb.upf
Sn 118.71 Sn.upf
ATOMIC_POSITIONS angstrom
Hf 1.922 -2.140 4.885
Hf 1.922 -1.984 9.516
Hf 1.922 0.385 2.376
Hf 0.000 2.398 6.899
Hf 0.000 4.767 -0.241
Nb 0.000 -2.282 7.231
Nb 1.922 5.066 2.043
Sn 0.000 0.108 4.729
Sn 1.922 0.000 7.239
Sn 0.000 2.783 2.035
Sn 1.922 2.675 4.545
Sn 0.000 0.000 0.000
CELL_PARAMETERS angstrom
3.843 0.000 0.000
-1.922 7.063 -0.497
0.000 -4.280 9.771
```



Ca3Ac2Au4 | PBE | relaxed Values from VASP.

Calculated values
The density of states at the Fermi level is 6.54 states/eV/f.u. As for the symmetry: P2_1/c (14). The value obtained for the formation energy is -772 meV/atom. The crystal system is monoclinic.

Cell and atoms, written as Quantum ESPRESSO input:
```
&SYSTEM
  ibrav = 0, nat = 18, ntyp = 3
/
ATOMIC_SPECIES
Ca 40.08 Ca.upf
Ac 227.00 Ac.upf
Au 196.97 Au.upf
ATOMIC_POSITIONS angstrom
Ca -1.357 3.923 4.147
Ca 2.623 3.872 0.000
Ca 5.243 1.882 6.886
Ca 3.984 5.811 2.739
Ca 0.004 5.862 1.409
Ca 1.263 1.933 5.556
Ac 3.927 1.447 2.692
Ac 5.301 6.246 6.839
Ac 1.320 6.297 5.603
Ac -0.054 1.498 1.456
Au 6.538 0.530 4.448
Au 2.689 7.163 0.300
Au -1.292 7.215 3.847
Au 2.558 0.581 7.995
Au 5.594 3.747 1.109
Au 3.634 3.946 5.256
Au -0.347 3.997 7.186
Au 1.613 3.798 3.039
CELL_PARAMETERS angstrom
7.961 -0.102 0.000
-2.714 7.847 0.000
0.000 0.000 8.295
```



K2Na4Cd3 | PBE | relaxed Values from VASP.

Calculated values
The density of states at the Fermi level is 3.94 states/eV/f.u. As for the symmetry: Fmmm (69). The value obtained for the formation energy is -53 meV/atom. The crystal system is orthorhombic.

Cell and atoms, written as Quantum ESPRESSO input:
```
&SYSTEM
  ibrav = 0, nat = 9, ntyp = 3
/
ATOMIC_SPECIES
K 39.10 K.upf
Na 22.99 Na.upf
Cd 112.41 Cd.upf
ATOMIC_POSITIONS angstrom
K 3.676 0.000 8.402
K 2.294 0.000 2.978
Na 7.980 3.832 5.995
Na 4.990 1.876 4.879
Na 0.979 1.876 6.500
Na 3.969 3.832 7.616
Cd 1.495 2.854 0.558
Cd 0.000 0.000 0.000
Cd 4.484 2.854 1.674
CELL_PARAMETERS angstrom
5.979 0.000 2.232
2.989 5.709 1.116
-0.009 0.000 9.148
```



KCrSe2 | PBE | relaxed Values from VASP.

Calculated values
For the calculated total energy, the calculation gives -4.989 eV/atom. The density of states at the Fermi level is 2.68 states/eV/f.u. As for the symmetry: Cm (8). The crystal system is monoclinic.

Cell and atoms, written as Quantum ESPRESSO input:
```
&SYSTEM
  ibrav = 0, nat = 4, ntyp = 3
/
ATOMIC_SPECIES
Cr 52.00 Cr.upf
K 39.10 K.upf
Se 78.96 Se.upf
ATOMIC_POSITIONS angstrom
Cr -6.733 1.276 0.879
K -2.937 1.004 0.217
Se -1.908 -2.033 1.138
Se -11.320 4.689 0.533
CELL_PARAMETERS angstrom
-5.463 5.213 1.132
-6.135 3.971 -2.212
-2.200 -3.536 1.756
```



AlCr2As | PBE | relaxed Values from VASP.

Calculated values
The density of states at the Fermi level is 3.20 states/eV/f.u. As for the symmetry: R-3m (166). The value obtained for the formation energy is 190 meV/atom. The crystal system is trigonal.

Cell and atoms, written as Quantum ESPRESSO input:
```
&SYSTEM
  ibrav = 0, nat = 4, ntyp = 3
/
ATOMIC_SPECIES
Cr 52.00 Cr.upf
As 74.92 As.upf
Al 26.98 Al.upf
ATOMIC_POSITIONS angstrom
Cr 0.111 0.020 0.012
Cr 11.525 2.050 1.208
As 17.454 3.104 1.830
Al 5.818 1.035 0.610
CELL_PARAMETERS angstrom
8.087 0.003 0.002
7.592 2.786 0.002
7.592 1.350 2.437
```



Y2RuPb | PBE | relaxed Values from VASP.

Calculated values
The density of states at the Fermi level is 4.02 states/eV/f.u. As for the symmetry: R3m (160). The value obtained for the formation energy is 126 meV/atom. The crystal system is trigonal.

Cell and atoms, written as Quantum ESPRESSO input:
```
&SYSTEM
  ibrav = 0, nat = 4, ntyp = 3
/
ATOMIC_SPECIES
Pb 207.20 Pb.upf
Ru 101.07 Ru.upf
Y 88.91 Y.upf
ATOMIC_POSITIONS angstrom
Pb 13.633 2.491 1.470
Ru 21.122 3.860 2.278
Y 0.466 0.085 0.050
Y 6.856 1.253 0.739
CELL_PARAMETERS angstrom
9.775 -0.016 -0.009
9.138 3.472 -0.009
9.138 1.670 3.044
```



BaAgO3 | PBE | relaxed Values from VASP.

Calculated values
For the calculated total energy, the calculation gives -4.636 eV/atom. The density of states at the Fermi level is 4.45 states/eV/f.u. As for the symmetry: Fd-3m (227). The crystal system is cubic.

Cell and atoms, written as Quantum ESPRESSO input:
```
&SYSTEM
  ibrav = 0, nat = 20, ntyp = 3
/
ATOMIC_SPECIES
O 16.00 O.upf
Ba 137.33 Ba.upf
Ag 107.87 Ag.upf
ATOMIC_POSITIONS angstrom
O 7.052 -3.760 -1.315
O 3.067 -5.531 0.592
O 5.359 -3.290 0.900
O 3.605 -1.252 -0.872
O 2.326 -2.618 1.749
O 8.100 -7.876 -2.949
O 4.346 -4.165 -2.029
O 1.313 -3.494 -1.180
O 5.244 -5.690 2.389
O 6.292 -9.807 0.755
O 3.813 -6.927 -1.750
O 9.531 -6.639 1.190
Ba 8.340 -8.479 -0.350
Ba 6.223 -6.020 -2.489
Ba 4.680 -7.669 0.673
Ba 7.445 -4.964 1.045
Ag 1.668 -1.696 -0.070
Ag 3.785 -4.154 2.069
Ag 5.328 -2.506 -1.094
Ag 2.563 -5.210 -1.465
CELL_PARAMETERS angstrom
7.320 -1.620 -2.047
4.234 -4.917 4.278
1.790 -7.029 -2.791
```



Li5Cu2O4 | PBE | relaxed Values from VASP.

Calculated values
For the calculated total energy, the calculation gives -4.629 eV/atom. The density of states at the Fermi level is 3.66 states/eV/f.u. As for the symmetry: C2/m (12). The crystal system is monoclinic.

Cell and atoms, written as Quantum ESPRESSO input:
```
&SYSTEM
  ibrav = 0, nat = 11, ntyp = 3
/
ATOMIC_SPECIES
Li 6.94 Li.upf
Cu 63.55 Cu.upf
O 16.00 O.upf
ATOMIC_POSITIONS angstrom
Li -1.668 -2.734 -1.293
Li 1.440 -6.509 0.884
Li 0.145 -3.496 -0.663
Li -0.568 -0.271 1.305
Li -0.373 -5.747 0.253
Cu -2.054 -5.009 -1.934
Cu 1.826 -4.234 1.524
O -1.690 -4.380 -0.036
O 0.044 -7.675 0.034
O 1.462 -4.863 -0.374
O -0.272 -1.568 -0.444
CELL_PARAMETERS angstrom
-1.136 -0.542 2.611
-3.522 -3.407 -2.240
4.430 -5.293 -0.781
```



Pm2Tm2Pb | PBE | relaxed Values from VASP.

Calculated values
The density of states at the Fermi level is 5.45 states/eV/f.u. As for the symmetry: I4/mmm (139). The value obtained for the formation energy is 173 meV/atom. The crystal system is tetragonal.

Cell and atoms, written as Quantum ESPRESSO input:
```
&SYSTEM
  ibrav = 0, nat = 5, ntyp = 3
/
ATOMIC_SPECIES
Pm 145.00 Pm.upf
Tm 168.93 Tm.upf
Pb 207.20 Pb.upf
ATOMIC_POSITIONS angstrom
Pm 0.310 6.172 3.423
Pm -2.652 2.164 -0.524
Tm -0.418 4.799 0.244
Tm -1.924 3.537 2.656
Pb 0.000 0.000 0.000
CELL_PARAMETERS angstrom
-1.213 2.098 -3.672
-4.225 -0.426 1.151
3.096 6.665 5.421
```



TcSe2N | PBE | relaxed Values from VASP.

Calculated values
For the calculated total energy, the calculation gives -5.504 eV/atom. The density of states at the Fermi level is 2.00 states/eV/f.u. As for the symmetry: I-42d (122). The crystal system is tetragonal.

Cell and atoms, written as Quantum ESPRESSO input:
```
&SYSTEM
  ibrav = 0, nat = 8, ntyp = 3
/
ATOMIC_SPECIES
Tc 98.00 Tc.upf
Se 78.96 Se.upf
N 14.01 N.upf
ATOMIC_POSITIONS angstrom
Tc 0.000 0.000 0.000
Tc -0.977 -3.533 5.384
Se -1.258 -2.043 3.542
Se 0.934 -4.071 1.595
Se 1.188 -4.513 5.170
Se 0.021 -7.415 6.879
N -1.090 -3.207 1.680
N 1.420 -5.487 3.209
CELL_PARAMETERS angstrom
-3.487 -1.253 3.854
1.307 -5.161 -0.495
2.622 -2.607 5.233
```



CsNpAlSe4 | PBE | relaxed Values from VASP.

Calculated values
For the calculated total energy, the calculation gives -5.580 eV/atom. The density of states at the Fermi level is 9.11 states/eV/f.u. As for the symmetry: P2_1/m (11). The crystal system is monoclinic.

Cell and atoms, written as Quantum ESPRESSO input:
```
&SYSTEM
  ibrav = 0, nat = 14, ntyp = 4
/
ATOMIC_SPECIES
Cs 132.91 Cs.upf
Np 237.00 Np.upf
Al 26.98 Al.upf
Se 78.96 Se.upf
ATOMIC_POSITIONS angstrom
Cs 2.238 5.270 8.802
Cs 1.531 1.757 0.445
Np 3.895 5.270 4.092
Np -0.126 1.757 5.154
Al 0.523 5.270 3.209
Al 3.246 1.757 6.038
Se -1.924 3.576 6.560
Se 5.692 0.062 2.687
Se 5.692 3.451 2.687
Se -1.924 6.964 6.560
Se 2.332 5.270 1.683
Se 1.436 1.757 7.564
Se 1.406 5.270 5.405
Se 2.362 1.757 3.841
CELL_PARAMETERS angstrom
6.732 0.000 -0.240
0.000 7.026 0.000
-2.963 0.000 9.487
```



AcYEr4 | PBE | relaxed Values from VASP.

Calculated values
The density of states at the Fermi level is 7.15 states/eV/f.u. As for the symmetry: C2/m (12). The value obtained for the formation energy is 37 meV/atom. The crystal system is monoclinic.

Cell and atoms, written as Quantum ESPRESSO input:
```
&SYSTEM
  ibrav = 0, nat = 12, ntyp = 3
/
ATOMIC_SPECIES
Ac 227.00 Ac.upf
Y 88.91 Y.upf
Er 167.26 Er.upf
ATOMIC_POSITIONS angstrom
Ac 5.470 2.014 3.072
Ac 2.404 4.106 -0.407
Y 2.748 0.782 1.024
Y 5.126 5.339 1.642
Er -0.192 1.238 2.846
Er 5.610 2.412 -0.529
Er -0.192 1.609 -0.713
Er 2.664 0.366 4.675
Er 8.066 4.883 -0.181
Er 2.265 3.708 3.195
Er -0.597 4.999 -2.214
Er 5.211 5.754 -2.010
CELL_PARAMETERS angstrom
8.790 0.335 -1.614
-0.790 6.608 -2.927
-0.126 -0.823 7.206
```



Y2Al2InRh5 | PBE | relaxed Values from VASP.

Calculated values
The density of states at the Fermi level is 4.79 states/eV/f.u. As for the symmetry: P4/mbm (127). The value obtained for the formation energy is -837 meV/atom. The crystal system is tetragonal.

Cell and atoms, written as Quantum ESPRESSO input:
```
&SYSTEM
  ibrav = 0, nat = 20, ntyp = 4
/
ATOMIC_SPECIES
Y 88.91 Y.upf
Al 26.98 Al.upf
In 114.82 In.upf
Rh 102.91 Rh.upf
ATOMIC_POSITIONS angstrom
Y 0.000 6.735 1.754
Y 0.000 3.228 8.209
Y 0.000 1.754 3.228
Y 0.000 8.209 6.735
Al 0.000 1.213 6.194
Al 0.000 8.750 3.769
Al 0.000 6.194 8.750
Al 0.000 3.769 1.213
In 0.000 0.000 0.000
In 0.000 4.982 4.982
Rh 1.755 2.098 0.680
Rh 1.755 7.865 9.283
Rh 1.755 0.680 7.865
Rh 1.755 7.079 4.301
Rh 1.755 9.283 2.098
Rh 1.755 2.884 5.662
Rh 1.755 5.662 7.079
Rh 1.755 4.301 2.884
Rh 1.755 4.982 0.000
Rh 1.755 0.000 4.982
CELL_PARAMETERS angstrom
3.510 0.000 0.000
0.000 9.963 0.000
0.000 0.000 9.963
```



Mn2InBiPb | PBE | relaxed Values from VASP.

Calculated values
The density of states at the Fermi level is 13.93 states/eV/f.u. As for the symmetry: P4/mmm (123). The value obtained for the formation energy is 1618 meV/atom. The crystal system is tetragonal.

Cell and atoms, written as Quantum ESPRESSO input:
```
&SYSTEM
  ibrav = 0, nat = 5, ntyp = 4
/
ATOMIC_SPECIES
Pb 207.20 Pb.upf
Mn 54.94 Mn.upf
Bi 208.98 Bi.upf
In 114.82 In.upf
ATOMIC_POSITIONS angstrom
Pb 0.000 2.796 0.000
Mn 0.000 0.000 2.467
Mn 2.467 0.000 0.000
Bi 2.467 2.796 2.467
In 0.000 0.000 0.000
CELL_PARAMETERS angstrom
4.934 0.000 0.000
0.000 5.591 0.000
0.000 0.000 4.934
```



VCo3 | PBE | relaxed Values from VASP.

Calculated values
The density of states at the Fermi level is 3.86 states/eV/f.u. As for the symmetry: Pm-3m (221). The value obtained for the formation energy is -167 meV/atom. The crystal system is cubic.

Cell and atoms, written as Quantum ESPRESSO input:
```
&SYSTEM
  ibrav = 0, nat = 4, ntyp = 2
/
ATOMIC_SPECIES
Co 58.93 Co.upf
V 50.94 V.upf
ATOMIC_POSITIONS angstrom
Co -1.813 -1.585 -0.612
Co -2.342 0.467 0.686
Co -1.081 -1.388 1.755
V 0.000 0.000 0.000
CELL_PARAMETERS angstrom
-3.074 0.269 -1.680
-0.551 -3.440 0.457
-1.610 0.664 3.052
```



Pu2ScPa | PBE | relaxed Values from VASP.

Calculated values
The density of states at the Fermi level is 14.09 states/eV/f.u. As for the symmetry: R-3m (166). The value obtained for the formation energy is 132 meV/atom. The crystal system is trigonal.

Cell and atoms, written as Quantum ESPRESSO input:
```
&SYSTEM
  ibrav = 0, nat = 4, ntyp = 3
/
ATOMIC_SPECIES
Sc 44.96 Sc.upf
Pa 231.04 Pa.upf
Pu 244.00 Pu.upf
ATOMIC_POSITIONS angstrom
Sc 0.000 0.000 0.000
Pa -2.002 6.130 0.785
Pu -3.026 9.124 1.160
Pu -0.979 3.135 0.410
CELL_PARAMETERS angstrom
-2.379 1.226 -1.903
-2.961 0.629 1.274
1.336 10.404 2.198
```



CePa6Se12 | PBE | relaxed Values from VASP.

Calculated values
For the calculated total energy, the calculation gives -6.818 eV/atom. The density of states at the Fermi level is 37.27 states/eV/f.u. As for the symmetry: R-3 (148). The crystal system is trigonal.

Cell and atoms, written as Quantum ESPRESSO input:
```
&SYSTEM
  ibrav = 0, nat = 19, ntyp = 3
/
ATOMIC_SPECIES
Ce 140.12 Ce.upf
Pa 231.04 Pa.upf
Se 78.96 Se.upf
ATOMIC_POSITIONS angstrom
Ce 0.000 0.000 0.000
Pa 4.014 6.413 2.747
Pa 4.622 2.266 0.950
Pa -0.177 4.649 2.399
Pa 1.539 0.057 5.003
Pa 0.930 4.203 6.801
Pa 5.730 1.820 5.351
Se 5.458 3.947 3.290
Se 1.675 5.779 4.472
Se 3.074 2.166 6.485
Se 0.094 2.522 4.460
Se 3.878 0.690 3.279
Se 2.479 4.304 1.265
Se -1.238 7.273 2.524
Se -1.823 3.965 7.418
Se 4.195 7.513 0.144
Se 6.791 -0.803 5.227
Se 7.376 2.505 0.332
Se 1.358 -1.044 7.607
CELL_PARAMETERS angstrom
8.344 -0.132 -0.158
-1.396 8.228 -0.158
-1.396 -1.626 8.067
```



PmThNi3 | PBE | relaxed Values from VASP.

Calculated values
The density of states at the Fermi level is 4.61 states/eV/f.u. As for the symmetry: Cmcm (63). The value obtained for the formation energy is -394 meV/atom. The crystal system is orthorhombic.

Cell and atoms, written as Quantum ESPRESSO input:
```
&SYSTEM
  ibrav = 0, nat = 10, ntyp = 3
/
ATOMIC_SPECIES
Pm 145.00 Pm.upf
Th 232.04 Th.upf
Ni 58.69 Ni.upf
ATOMIC_POSITIONS angstrom
Pm 1.020 0.000 1.734
Pm 3.061 1.903 10.919
Th 1.020 1.903 7.666
Th 3.061 0.000 4.987
Ni 1.020 0.000 9.682
Ni 3.061 1.903 2.971
Ni 1.020 0.000 12.050
Ni 3.061 1.903 0.603
Ni 3.061 0.000 8.080
Ni 1.020 1.903 4.572
CELL_PARAMETERS angstrom
4.081 0.000 0.000
0.000 3.806 0.000
0.000 -1.903 12.653
```



Ta5Be4 | PBE | relaxed Values from VASP.

Calculated values
The density of states at the Fermi level is 4.63 states/eV/f.u. As for the symmetry: I4/mmm (139). The value obtained for the formation energy is 184 meV/atom. The crystal system is tetragonal.

Cell and atoms, written as Quantum ESPRESSO input:
```
&SYSTEM
  ibrav = 0, nat = 9, ntyp = 2
/
ATOMIC_SPECIES
Ta 180.95 Ta.upf
Be 9.01 Be.upf
ATOMIC_POSITIONS angstrom
Ta 0.000 0.000 0.000
Ta 1.403 -1.403 2.044
Ta -1.403 1.403 2.044
Ta 1.403 1.403 2.044
Ta 2.616 2.616 0.000
Be 0.000 2.765 0.000
Be 0.000 5.273 0.000
Be 5.273 0.000 0.000
Be 2.765 0.000 0.000
CELL_PARAMETERS angstrom
-4.019 4.019 2.044
4.019 -4.019 2.044
4.019 4.019 -2.044
```